No. 1
Entry from the Alexandria database: a relaxed SmHoTm2As4 crystal (PBE-GGA).

```
SmHoTm2As4
1.0
7.118 0.000 0.000
0.000 4.113 0.000
-2.374 0.000 6.713
Sm Ho Tm As
1 1 2 4
Direct
0.000 0.000 0.000
0.000 0.500 0.500
0.500 0.000 0.500
0.500 0.500 0.000
0.255 0.000 0.748
0.257 0.500 0.256
0.743 0.500 0.744
0.745 0.000 0.252
```

Computed properties:
DFT formation energy, eV per atom: -1.5119
Size of the total moment, μB/cell: 0.0
Density of states at the Fermi level, states/eV/f.u.: 0.989
Crystal system: monoclinic
Uncorrected energy, eV/atom: -6.117
SG: P2/m, No. 10



No. 2
Entry from the Alexandria database: a relaxed CeDy2Tc crystal (PBE-GGA).

```
CeDy2Tc
1.0
1.667 0.962 10.799
-1.667 0.962 10.799
0.000 -1.925 10.799
Ce Dy Tc
1 2 1
Direct
0.000 0.000 0.000
0.103 0.103 0.103
0.897 0.897 0.897
0.500 0.500 0.500
```

Computed properties:
Distance to the lowest polymorph of the same formula, meV per atom: 443
DFT formation energy, eV per atom: 0.2664
Size of the total moment, μB/cell: 0.8
Density of states at the Fermi level, states/eV/f.u.: 7.589
Crystal system: trigonal
Uncorrected energy, eV/atom: -6.110
SG: R-3m, No. 166



No. 3
Entry from the Alexandria database: a relaxed CoMoOs2 crystal (PBE-GGA).

```
CoMoOs2
1.0
2.706 0.000 0.000
0.000 3.790 0.000
0.000 0.000 5.395
Co Mo Os
1 1 2
Direct
0.000 0.000 0.000
0.500 0.500 0.238
0.000 0.000 0.516
0.500 0.500 0.760
```

Computed properties:
Distance to the lowest polymorph of the same formula, meV per atom: 62
DFT formation energy, eV per atom: 0.0914
Size of the total moment, μB/cell: 0.0
Density of states at the Fermi level, states/eV/f.u.: 4.047
Crystal system: orthorhombic
Uncorrected energy, eV/atom: -10.008
SG: Pmm2, No. 25



No. 4
Entry from the Alexandria database: a relaxed ScTl2Cu crystal (PBE-GGA).

```
ScTl2Cu
1.0
0.000 3.496 3.496
3.496 0.000 3.496
3.496 3.496 0.000
Sc Tl Cu
1 2 1
Direct
0.000 0.000 0.000
0.250 0.250 0.250
0.750 0.750 0.750
0.500 0.500 0.500
```

Computed properties:
Distance to the lowest polymorph of the same formula, meV per atom: 63
DFT formation energy, eV per atom: 0.0417
Size of the total moment, μB/cell: 0.0
Density of states at the Fermi level, states/eV/f.u.: 0.172
Crystal system: cubic
Uncorrected energy, eV/atom: -3.748
SG: Fm-3m, No. 225



No. 5
Entry from the Alexandria database: a relaxed Zr2Sb crystal (PBE-GGA).

```
Zr2Sb
1.0
6.218 0.000 0.000
0.000 6.907 0.000
0.000 0.000 3.753
Zr Sb
4 2
Direct
0.195 0.135 0.000
0.305 0.635 0.500
0.695 0.365 0.500
0.805 0.865 0.000
0.000 0.500 0.000
0.500 0.000 0.500
```

Computed properties:
Energy relative to the elements, uncorrected, meV per atom: 25.4
Size of the total moment, μB/cell: 1.5
Density of states at the Fermi level, states/eV/f.u.: 2.508
Crystal system: orthorhombic
Uncorrected energy, eV/atom: -7.047
SG: Pnnm, No. 58



No. 6
Entry from the Alexandria database: a relaxed YTm2Hg crystal (PBE-GGA).

```
YTm2Hg
1.0
2.389 -5.891 0.000
2.389 5.891 0.000
0.000 0.000 8.265
Y Tm Hg
2 4 2
Direct
0.055 0.945 0.750
0.945 0.055 0.250
0.359 0.641 0.546
0.359 0.641 0.954
0.641 0.359 0.046
0.641 0.359 0.454
0.222 0.778 0.250
0.778 0.222 0.750
```

Computed properties:
Distance to the lowest polymorph of the same formula, meV per atom: 70
DFT formation energy, eV per atom: -0.1795
Size of the total moment, μB/cell: 0.0
Density of states at the Fermi level, states/eV/f.u.: 4.673
Crystal system: orthorhombic
Uncorrected energy, eV/atom: -4.107
SG: Cmcm, No. 63



No. 7
Entry from the Alexandria database: a relaxed TeRu2Pb crystal (PBE-GGA).

```
TeRu2Pb
1.0
-3.049 3.049 5.763
3.049 -3.049 5.763
3.049 3.049 -5.763
Te Ru Pb
2 4 2
Direct
0.000 0.000 0.000
0.750 0.250 0.500
0.104 0.625 0.979
0.375 0.354 0.479
0.646 0.125 0.021
0.875 0.896 0.521
0.250 0.750 0.500
0.500 0.500 0.000
```

Computed properties:
Distance to the lowest polymorph of the same formula, meV per atom: 417
Energy relative to the elements, uncorrected, meV per atom: 731.4
Size of the total moment, μB/cell: 0.0
Density of states at the Fermi level, states/eV/f.u.: 3.444
Crystal system: tetragonal
Uncorrected energy, eV/atom: -5.619
SG: I-42d, No. 122



No. 8
Entry from the Alexandria database: a relaxed SrB3N3 crystal (PBE-GGA).

```
SrB3N3
1.0
4.848 0.000 0.000
0.000 4.848 0.000
0.000 0.000 4.848
Sr B N
2 6 6
Direct
0.000 0.000 0.000
0.500 0.500 0.500
0.000 0.250 0.500
0.000 0.750 0.500
0.250 0.500 0.000
0.500 0.000 0.250
0.500 0.000 0.750
0.750 0.500 0.000
0.000 0.500 0.250
0.000 0.500 0.750
0.250 0.000 0.500
0.500 0.250 0.000
0.500 0.750 0.000
0.750 0.000 0.500
```

Computed properties:
Energy relative to the elements, uncorrected, meV per atom: 193.5
Size of the total moment, μB/cell: 0.0
Density of states at the Fermi level, states/eV/f.u.: 3.056
Crystal system: cubic
Uncorrected energy, eV/atom: -6.477
SG: Pm-3n, No. 223